No. 1
The following is a GGA-PBE calculation of an optimized crystal structure of PmEuGa2, from the Alexandria database.

The value obtained for the formation energy from the elements is -300 meV per atom.

It has space group R-3m (No. 166, hexagonal axes), with a = 3.7865 Å, b = 3.7865 Å, c = 27.2497 Å, α = 90.00°, β = 90.00° and γ = 120.00°. The asymmetric unit holds Pm at (0.0000, 0.0000, 0.0000), Eu at (0.0000, 0.0000, 0.5000) and Ga at (0.0000, 0.0000, 0.2519).

No. 2
The following is a GGA-PBE calculation of an optimized crystal structure of PmEuGaRh, from the Alexandria database.

The value obtained for the formation energy from the elements is -475 meV per atom.

It has space group F-43m (No. 216), with a = 7.208 Å, b = 7.208 Å, c = 7.208 Å, α = 90.00°, β = 90.00° and γ = 90.00°. The asymmetric unit holds Pm at (0.000, 0.000, 0.000), Eu at (0.000, 0.000, 0.500), Ga at (0.250, 0.250, 0.250) and Rh at (0.250, 0.250, 0.750).

No. 3
The following is a GGA-PBE calculation of an optimized crystal structure of PmEuGaRu, from the Alexandria database.

The value obtained for the formation energy from the elements is -185 meV per atom.

It has space group F-43m (No. 216), with a = 7.166 Å, b = 7.166 Å, c = 7.166 Å, α = 90.00°, β = 90.00° and γ = 90.00°. The asymmetric unit holds Pm at (0.000, 0.000, 0.000), Eu at (0.000, 0.000, 0.500), Ga at (0.250, 0.250, 0.250) and Ru at (0.250, 0.250, 0.750).

Which of these has the highest formation energy from the elements? PmEuGaRu